No. 1
Below is K3HgN after structural relaxation, with properties calculated at the PBE level.

The structure in extended XYZ format:
```
5
Lattice="-0.8284 5.4775 0.8749 -5.4323 -0.9801 0.9925 1.1222 -0.7008 5.4502" Properties=species:S:1:pos:R:3 pbc="T T T"
K -2.7161 -0.4900 0.4962
K 0.5611 -0.3504 2.7251
K -0.4142 2.7388 0.4374
Hg -2.5693 1.8983 3.6588
N 0.0000 0.0000 0.0000
```

## Properties
Energy above the lowest structure with this stoichiometry ... 0.000 eV/atom
Space-group type ... Pm-3m, No. 221

=====

No. 2
Below is InW2Br after structural relaxation, with properties calculated at the PBE level.

The structure in extended XYZ format:
```
4
Lattice="2.9044 0.0000 0.0000 0.0000 5.2166 0.0000 0.0000 0.0000 4.9991" Properties=species:S:1:pos:R:3 pbc="T T T"
Br 1.4522 0.0000 2.4995
W 0.0000 0.0000 0.0000
W 1.4522 2.6083 0.0000
In 0.0000 2.6083 2.4995
```

## Properties
Energy above the lowest structure with this stoichiometry ... 0.729 eV/atom
Space-group type ... Pmmm, No. 47

=====

No. 3
Below is Tb4HfAs5 after structural relaxation, with properties calculated at the PBE level.

The structure in extended XYZ format:
```
10
Lattice="0.7755 1.5163 5.5062 -2.4953 -4.6601 4.6512 6.0634 -2.2516 2.7825" Properties=species:S:1:pos:R:3 pbc="T T T"
Tb 4.1453 -3.0268 6.2889
Tb 2.2937 -3.8478 9.7922
Tb 2.0515 -1.5446 3.1591
Tb 0.1999 -2.3656 6.6625
Hf 0.0009 0.0017 0.0063
As 4.6408 -2.2474 9.0207
As 1.9317 -4.7119 7.0644
As 2.4134 -0.6807 5.8865
As -0.2957 -3.1451 3.9302
As 0.3886 0.7598 2.7591
```

## Properties
Energy of formation ... -1.424 eV per atom
Space-group type ... I4/m, No. 87

=====

Short version: DOS at the Fermi energy = 5.0 3.7 2.2 states/eV per cell, in the order given.
Short version: magnetic moment = 0.58 0.01 0.00 μB/f.u., in the order given.